Here is an optimized crystal structure of NbMoNO2 from Alexandria via LeMat-Bulk. Energies are from PBE with a Hubbard U.

It has space group P4/mmm (No. 123), with a = 3.963 Å, b = 3.963 Å, c = 4.035 Å, α = 90.00°, β = 90.00° and γ = 90.00°. The distinct sites, in fractional coordinates, are Nb at (0.000, 0.000, 0.000), Mo at (0.500, 0.500, 0.500), N at (0.500, 0.500, 0.000) and O at (0.000, 0.500, 0.500).

The volume comes out at 63.4 Å³/cell. As for the total energy: -7.33 eV per atom.